RhC2, optimized geometry, DFT PBE-GGA; energy of formation from the pure elements = 905 meV/atom; calculated density = 6.44 g/cm3
1.0
1.525 4.346 0.072
-1.525 4.346 0.072
0.000 1.201 4.959
C Rh
4 2
Direct
0.464 0.464 0.647 C
0.627 0.627 0.666 C
0.739 0.739 0.422 C
0.782 0.782 0.145 C
0.249 0.249 0.906 Rh
0.972 0.972 0.381 Rh



Pm4FeBr5, optimized geometry, DFT PBE-GGA; ΔE_f (raw) = -124.71 kJ per mole of atoms; calculated density = 5.27 g/cm3
1.0
3.977 0.000 -0.866
-0.464 8.785 -2.133
-0.044 -0.094 9.362
Pm Fe Br
4 1 5
Direct
0.362 0.927 0.724 Pm
0.638 0.073 0.276 Pm
0.000 0.229 0.001 Pm
0.000 0.771 0.999 Pm
0.500 0.000 0.000 Fe
0.168 0.324 0.335 Br
0.171 0.848 0.341 Br
0.829 0.152 0.659 Br
0.832 0.676 0.665 Br
0.500 0.500 0.000 Br



Re3RuO, optimized geometry, DFT PBE-GGA; ΔE_f (raw) = 39.63 kJ per mole of atoms; calculated density = 16.77 g/cm3
1.0
4.060 0.000 0.000
0.000 4.060 0.000
0.000 0.000 4.060
Re O Ru
3 1 1
Direct
0.500 0.000 0.000 Re
0.000 0.500 0.000 Re
0.000 0.000 0.500 Re
0.000 0.000 0.000 O
0.500 0.500 0.500 Ru



Li2CoPb, optimized geometry, DFT PBE-GGA; energy of formation from the pure elements = 94 meV/atom; calculated density = 7.34 g/cm3
1.0
5.138 0.001 0.000
2.318 4.585 0.000
-3.728 -2.293 2.691
Pb Co Li
1 1 2
Direct
0.250 0.750 0.500 Pb
0.750 0.250 0.500 Co
0.000 0.000 0.000 Li
0.500 0.500 0.000 Li



These records have magnetization values of 0.000, 0.000, 0.000, 0.176 μB/f.u., in the order they appear.
These records have DOS(E_F) values of 0.6, 4.5, 5.1, 2.9 states/eV/f.u., in the order they appear.